# MnOF, relaxed, DFT GGA+U
# Density   4.240 g/cm³
# Calculated total energy   -80.98 eV for the cell shown
data_MnOF
_chemical_formula_sum 'Mn4 O4 F4'
_cell_length_a 6.253
_cell_length_b 7.374
_cell_length_c 3.056
_cell_angle_alpha 90.00
_cell_angle_beta 90.00
_cell_angle_gamma 90.00
_space_group_name_H-M_alt 'C m m m'
_space_group_IT_number 65
_space_group_name_Hall '-C 2 2'
loop_
_atom_site_label
_atom_site_type_symbol
_atom_site_fract_x
_atom_site_fract_y
_atom_site_fract_z
_atom_site_occupancy
Mn1 Mn 0.000 0.000 0.000 1
Mn2 Mn 0.000 0.500 0.500 1
O1 O 0.197 0.000 0.500 1
F1 F 0.000 0.314 0.000 1